<i>
# Hf2IrCl2

An optimized crystal structure of Hf2IrCl2 (GGA-PBE, Alexandria).

Lattice parameters (Å, degrees): 3.7835 3.7835 7.1572 74.67 74.67 90.00
Positions (direct):
1 Hf 0.6096 0.6096 0.7808
2 Cl 0.2500 0.7500 0.5000
3 Ir 0.0000 0.0000 0.0000
4 Hf 0.3904 0.3904 0.2192
5 Cl 0.7500 0.2500 0.5000

Properties
The density is 10.8 g/cm³. The size of the total moment is 0.00 μB/cell. The value obtained for the density of states at the Fermi level is 5.5 states/eV per cell.



<ii>
# Hf2IrCl2

An optimized crystal structure of Hf2IrCl2 (GGA-PBE, Alexandria).

Lattice parameters (Å, degrees): 7.5774 7.5774 3.0863 90.00 90.00 90.00
Positions (direct):
1 Hf 0.3220 0.8220 0.0000
2 Ir 0.0000 0.0000 0.0000
3 Hf 0.6780 0.1780 0.0000
4 Cl 0.6254 0.8746 0.5000
5 Cl 0.8746 0.3746 0.5000
6 Hf 0.8220 0.6780 0.0000
7 Ir 0.5000 0.5000 0.0000
8 Cl 0.3746 0.1254 0.5000
9 Cl 0.1254 0.6254 0.5000
10 Hf 0.1780 0.3220 0.0000

Properties
The density is 11.6 g/cm³. The size of the total moment is 0.00 μB/cell. The value obtained for the density of states at the Fermi level is 6.1 states/eV per cell.



Name the most stable of them. <i>.



<i>
# HfP2IrCl

An optimized crystal structure of HfP2IrCl (GGA-PBE, Alexandria).

Lattice parameters (Å, degrees): 5.0100 5.0100 4.6852 90.00 90.00 90.00
Each line ends with the local moment (μB).
Positions (direct):
1 P 0.0000 0.5000 0.0000  -0.01
2 P 0.5000 0.0000 0.0000  -0.01
3 Ir 0.5000 0.5000 0.5000  1.30
4 Cl 0.0000 0.0000 0.5000  0.03
5 Hf 0.0000 0.0000 0.0000  0.04

Properties
The density is 6.6 g/cm³. The size of the total moment is 1.43 μB/cell. The value obtained for the density of states at the Fermi level is 8.1 states/eV per cell.



<ii>
# HfP2IrCl

An optimized crystal structure of HfP2IrCl (GGA-PBE, Alexandria).

Lattice parameters (Å, degrees): 4.6357 4.6357 4.6521 90.00 90.00 90.00
Positions (direct):
1 P 0.5000 0.0000 0.0000
2 Hf 0.5000 0.5000 0.5000
3 Cl 0.0000 0.0000 0.5000
4 P 0.0000 0.5000 0.0000
5 Ir 0.0000 0.0000 0.0000

Properties
The density is 7.8 g/cm³. The size of the total moment is 0.00 μB/cell. The value obtained for the density of states at the Fermi level is 4.7 states/eV per cell.



Name the most stable of them. <ii>.



<i>
# Hf2IrPtCl

An optimized crystal structure of Hf2IrPtCl (GGA-PBE, Alexandria).

Lattice parameters (Å, degrees): 5.0717 5.0717 4.5758 90.00 90.00 90.00
Positions (direct):
1 Ir 0.5000 0.5000 0.5000
2 Pt 0.0000 0.0000 0.0000
3 Hf 0.0000 0.5000 0.0000
4 Hf 0.5000 0.0000 0.0000
5 Cl 0.0000 0.0000 0.5000

Properties
The density is 11.0 g/cm³. The size of the total moment is 0.00 μB/cell. The value obtained for the density of states at the Fermi level is 4.8 states/eV per cell.



<ii>
# Hf2IrPtCl

An optimized crystal structure of Hf2IrPtCl (GGA-PBE, Alexandria).

Lattice parameters (Å, degrees): 4.6255 4.3757 4.6255 90.00 90.00 90.00
Positions (direct):
1 Cl 0.0000 0.0000 0.0000
2 Hf 0.0000 0.0000 0.5000
3 Ir 0.0000 0.5000 0.0000
4 Hf 0.5000 0.0000 0.0000
5 Pt 0.5000 0.5000 0.5000

Properties
The density is 13.8 g/cm³. The size of the total moment is 0.00 μB/cell. The value obtained for the density of states at the Fermi level is 3.4 states/eV per cell.



Name the most stable of them. <ii>.



<i>
# HfIrSCl2

An optimized crystal structure of HfIrSCl2 (GGA-PBE, Alexandria).

Lattice parameters (Å, degrees): 4.9407 4.9407 4.9402 90.00 90.00 90.00
Each line ends with the local moment (μB).
Positions (direct):
1 Cl 0.5000 0.0000 0.0000  0.03
2 Ir 0.5000 0.5000 0.5000  2.28
3 Cl 0.0000 0.5000 0.0000  0.03
4 S 0.0000 0.0000 0.5000  0.05
5 Hf 0.0000 0.0000 0.0000  -0.01

Properties
The density is 6.5 g/cm³. The size of the total moment is 2.73 μB/cell. The value obtained for the density of states at the Fermi level is 6.9 states/eV per cell.



<ii>
# HfIrSCl2

An optimized crystal structure of HfIrSCl2 (GGA-PBE, Alexandria).

Lattice parameters (Å, degrees): 4.6727 4.6727 4.7740 90.00 90.00 90.00
Each line ends with the local moment (μB).
Positions (direct):
1 Hf 0.5000 0.5000 0.5000  0.89
2 Cl 0.0000 0.5000 0.0000  -0.01
3 Ir 0.0000 0.0000 0.0000  -0.09
4 Cl 0.5000 0.0000 0.0000  -0.01
5 S 0.0000 0.0000 0.5000  -0.05

Properties
The density is 7.5 g/cm³. The size of the total moment is 1.23 μB/cell. The value obtained for the density of states at the Fermi level is 4.7 states/eV per cell.



Name the most stable of them. <i>.



<i>
# KHf2Cl8

An optimized crystal structure of KHf2Cl8 (GGA-PBE, Alexandria).

Lattice parameters (Å, degrees): 5.0201 9.2664 9.2669 120.00 90.01 90.01
Each line ends with the local moment (μB).
Positions (direct):
1 Cl 0.7394 0.8130 0.1841  0.00
2 Cl 0.7576 0.3333 0.6667  -0.02
3 Cl 0.7393 0.3710 0.1870  0.00
4 Hf 0.7437 0.6666 0.3333  0.35
5 Cl 0.2606 0.1841 0.3711  0.00
6 Hf 0.2563 0.3334 0.6667  0.35
7 Cl 0.2606 0.1870 0.8159  0.00
8 Cl 0.2607 0.6290 0.8130  0.00
9 Cl 0.2424 0.6667 0.3333  -0.02
10 Cl 0.7394 0.8159 0.6289  0.00
11 K 0.0000 0.0000 0.0000  0.00

Properties
The density is 3.0 g/cm³. The size of the total moment is 1.03 μB/cell. The value obtained for the density of states at the Fermi level is 4.9 states/eV per cell.



<ii>
# KHf2Cl8

An optimized crystal structure of KHf2Cl8 (GGA-PBE, Alexandria).

Lattice parameters (Å, degrees): 7.7413 7.3307 7.3307 58.44 97.94 97.94
Positions (direct):
1 Hf 0.4993 0.2522 0.2522
2 Cl 0.7639 0.1744 0.1744
3 Hf 0.5007 0.7478 0.7478
4 Cl 0.3676 0.8723 0.3660
5 K 0.0000 0.0000 0.0000
6 Cl 0.2361 0.8256 0.8256
7 Cl 0.3676 0.3660 0.8723
8 Cl 0.6324 0.6340 0.1277
9 Cl 0.7590 0.6691 0.6691
10 Cl 0.6324 0.1277 0.6340
11 Cl 0.2410 0.3309 0.3309

Properties
The density is 3.2 g/cm³. The size of the total moment is 0.00 μB/cell. The value obtained for the density of states at the Fermi level is 3.1 states/eV per cell.



Name the most stable of them. <ii>.



<i>
# KHfPCl2

An optimized crystal structure of KHfPCl2 (GGA-PBE, Alexandria).

Lattice parameters (Å, degrees): 5.0906 5.0906 5.6301 90.00 90.00 90.00
Positions (direct):
1 K 0.0000 0.0000 0.0000
2 Hf 0.5000 0.5000 0.5000
3 Cl 0.5000 0.0000 0.0000
4 P 0.0000 0.0000 0.5000
5 Cl 0.0000 0.5000 0.0000

Properties
The density is 3.6 g/cm³. The size of the total moment is 0.01 μB/cell. The value obtained for the density of states at the Fermi level is 4.2 states/eV per cell.



<ii>
# KHfPCl2

An optimized crystal structure of KHfPCl2 (GGA-PBE, Alexandria).

Lattice parameters (Å, degrees): 5.1402 5.1402 5.0149 90.00 90.00 90.00
Positions (direct):
1 Cl 0.0000 0.5000 0.0000
2 K 0.5000 0.5000 0.5000
3 Cl 0.5000 0.0000 0.0000
4 Hf 0.0000 0.0000 0.0000
5 P 0.0000 0.0000 0.5000

Properties
The density is 4.0 g/cm³. The size of the total moment is 0.00 μB/cell. The value obtained for the density of states at the Fermi level is 0.7 states/eV per cell.



Name the most stable of them. <ii>.



<i>
# LaHf2Cl

An optimized crystal structure of LaHf2Cl (GGA-PBE, Alexandria).

Lattice parameters (Å, degrees): 5.1469 5.1469 5.1469 60.00 60.00 60.00
Positions (direct):
1 Cl 0.0000 0.0000 0.0000
2 Hf 0.7500 0.7500 0.7500
3 Hf 0.2500 0.2500 0.2500
4 La 0.5000 0.5000 0.5000

Properties
The density is 9.2 g/cm³. The size of the total moment is 0.00 μB/cell. The value obtained for the density of states at the Fermi level is 9.0 states/eV per cell.



<ii>
# LaHf2Cl

An optimized crystal structure of LaHf2Cl (GGA-PBE, Alexandria).

Lattice parameters (Å, degrees): 4.0828 4.0828 12.9265 80.91 80.91 90.00
Positions (direct):
1 Cl 0.2500 0.7500 0.5000
2 La 0.0000 0.0000 0.0000
3 La 0.7500 0.2500 0.5000
4 Hf 0.6295 0.6250 0.2500
5 Cl 0.5000 0.5000 0.0000
6 Hf 0.3750 0.8795 0.7500
7 Hf 0.8750 0.3705 0.7500
8 Hf 0.1205 0.1250 0.2500

Properties
The density is 8.4 g/cm³. The size of the total moment is 0.00 μB/cell. The value obtained for the density of states at the Fermi level is 21.7 states/eV per cell.



Name the most stable of them. <ii>.



<i>
# La3HfCl

An optimized crystal structure of La3HfCl (GGA-PBE, Alexandria).

Lattice parameters (Å, degrees): 5.8604 5.8604 5.8604 90.00 90.00 90.00
Positions (direct):
1 Cl 0.5000 0.5000 0.5000
2 La 0.0000 0.0000 0.5000
3 La 0.0000 0.5000 0.0000
4 Hf 0.0000 0.0000 0.0000
5 La 0.5000 0.0000 0.0000

Properties
The density is 5.2 g/cm³. The size of the total moment is 0.00 μB/cell. The value obtained for the density of states at the Fermi level is 4.9 states/eV per cell.



<ii>
# La3HfCl

An optimized crystal structure of La3HfCl (GGA-PBE, Alexandria).

Lattice parameters (Å, degrees): 5.4524 5.4524 5.4524 90.00 90.00 90.00
Positions (direct):
1 La 0.5000 0.0000 0.0000
2 La 0.0000 0.5000 0.0000
3 Hf 0.5000 0.5000 0.5000
4 La 0.0000 0.0000 0.5000
5 Cl 0.0000 0.0000 0.0000

Properties
The density is 6.5 g/cm³. The size of the total moment is 0.00 μB/cell. The value obtained for the density of states at the Fermi level is 6.1 states/eV per cell.



Name the most stable of them. <ii>.



<i>
# LaHfS2Cl

An optimized crystal structure of LaHfS2Cl (GGA-PBE, Alexandria).

Lattice parameters (Å, degrees): 5.5037 5.5037 5.2882 90.00 90.00 90.00
Each line ends with the local moment (μB).
Positions (direct):
1 La 0.0000 0.0000 0.0000  0.00
2 S 0.0000 0.5000 0.0000  -0.03
3 S 0.5000 0.0000 0.0000  -0.03
4 Hf 0.5000 0.5000 0.5000  0.35
5 Cl 0.0000 0.0000 0.5000  0.00

Properties
The density is 4.3 g/cm³. The size of the total moment is 0.40 μB/cell. The value obtained for the density of states at the Fermi level is 6.0 states/eV per cell.



<ii>
# LaHfS2Cl

An optimized crystal structure of LaHfS2Cl (GGA-PBE, Alexandria).

Lattice parameters (Å, degrees): 4.9349 4.9349 4.8005 90.00 90.00 90.00
Positions (direct):
1 S 0.5000 0.0000 0.0000
2 Cl 0.0000 0.0000 0.5000
3 Hf 0.0000 0.0000 0.0000
4 S 0.0000 0.5000 0.0000
5 La 0.5000 0.5000 0.5000

Properties
The density is 5.9 g/cm³. The size of the total moment is 0.00 μB/cell. The value obtained for the density of states at the Fermi level is 3.8 states/eV per cell.



Name the most stable of them. <ii>.



<i>
# LiHf2Cl

An optimized crystal structure of LiHf2Cl (GGA-PBE, Alexandria).

Lattice parameters (Å, degrees): 3.9529 3.9529 11.4542 80.06 80.06 90.00
Positions (direct):
1 Cl 0.0000 0.0000 0.0000
2 Li 0.2500 0.7500 0.5000
3 Hf 0.8750 0.8782 0.7500
4 Cl 0.7500 0.2500 0.5000
5 Hf 0.3750 0.3718 0.7500
6 Hf 0.6282 0.1250 0.2500
7 Li 0.5000 0.5000 0.0000
8 Hf 0.1218 0.6250 0.2500

Properties
The density is 7.6 g/cm³. The size of the total moment is 0.00 μB/cell. The value obtained for the density of states at the Fermi level is 6.2 states/eV per cell.



<ii>
# LiHf2Cl

An optimized crystal structure of LiHf2Cl (GGA-PBE, Alexandria).

Lattice parameters (Å, degrees): 4.7163 4.7163 4.7163 60.00 60.00 60.00
Positions (direct):
1 Li 0.0000 0.0000 0.0000
2 Hf 0.7500 0.7500 0.7500
3 Cl 0.5000 0.5000 0.5000
4 Hf 0.2500 0.2500 0.2500

Properties
The density is 8.9 g/cm³. The size of the total moment is 0.00 μB/cell. The value obtained for the density of states at the Fermi level is 2.2 states/eV per cell.



Name the most stable of them. <i>.



<i>
# LiHf2Cl8

An optimized crystal structure of LiHf2Cl8 (GGA-PBE, Alexandria).

Lattice parameters (Å, degrees): 6.8219 7.4516 7.4516 57.11 86.45 86.45
Positions (direct):
1 Cl 0.3556 0.3838 0.8953
2 Cl 0.2079 0.3683 0.3683
3 Li 0.0000 0.0000 0.0000
4 Hf 0.4922 0.2556 0.2556
5 Hf 0.5078 0.7444 0.7444
6 Cl 0.6444 0.6162 0.1047
7 Cl 0.6444 0.1047 0.6162
8 Cl 0.8064 0.1473 0.1473
9 Cl 0.3556 0.8953 0.3838
10 Cl 0.1936 0.8527 0.8527
11 Cl 0.7921 0.6317 0.6317

Properties
The density is 3.4 g/cm³. The size of the total moment is 0.00 μB/cell. The value obtained for the density of states at the Fermi level is 3.1 states/eV per cell.



<ii>
# LiHf2Cl8

An optimized crystal structure of LiHf2Cl8 (GGA-PBE, Alexandria).

Lattice parameters (Å, degrees): 5.0741 8.3004 8.3069 119.99 90.00 90.00
Each line ends with the local moment (μB).
Positions (direct):
1 Cl 0.7412 0.3334 0.6667  -0.01
2 Li 0.0000 0.0000 0.0000  0.00
3 Cl 0.7517 0.8303 0.1680  0.00
4 Hf 0.2363 0.3334 0.6667  0.29
5 Cl 0.2483 0.1682 0.3380  0.00
6 Cl 0.2483 0.6624 0.8304  0.00
7 Cl 0.7517 0.8318 0.6620  0.00
8 Hf 0.7637 0.6666 0.3332  0.29
9 Cl 0.7517 0.3376 0.1696  0.00
10 Cl 0.2588 0.6666 0.3333  -0.01
11 Cl 0.2483 0.1697 0.8320  0.00

Properties
The density is 3.5 g/cm³. The size of the total moment is 0.86 μB/cell. The value obtained for the density of states at the Fermi level is 4.2 states/eV per cell.



Name the most stable of them. <i>.



<i>
# LiHfCl2

An optimized crystal structure of LiHfCl2 (GGA-PBE, Alexandria).

Lattice parameters (Å, degrees): 4.5273 4.5273 4.5273 60.00 60.00 60.00
Each line ends with the local moment (μB).
Positions (direct):
1 Li 0.0000 0.0000 0.0000  0.02
2 Cl 0.2500 0.2500 0.2500  0.00
3 Hf 0.5000 0.5000 0.5000  0.39
4 Cl 0.7500 0.7500 0.7500  0.00

Properties
The density is 6.5 g/cm³. The size of the total moment is 0.63 μB/cell. The value obtained for the density of states at the Fermi level is 2.5 states/eV per cell.



<ii>
# LiHfCl2

An optimized crystal structure of LiHfCl2 (GGA-PBE, Alexandria).

Lattice parameters (Å, degrees): 5.9411 5.9411 6.4463 62.56 62.56 90.00
Each line ends with the local moment (μB).
Positions (direct):
1 Hf 0.7500 0.2500 0.5000  0.47
2 Hf 0.0000 0.0000 0.0000  0.48
3 Cl 0.5853 0.1250 0.2500  0.03
4 Li 0.2500 0.7500 0.5000  0.01
5 Li 0.5000 0.5000 0.0000  0.01
6 Cl 0.3750 0.4147 0.7500  0.03
7 Cl 0.8750 0.8353 0.7500  0.03
8 Cl 0.1647 0.6250 0.2500  0.03

Properties
The density is 4.9 g/cm³. The size of the total moment is 2.00 μB/cell. The value obtained for the density of states at the Fermi level is 4.1 states/eV per cell.



<iii>
# LiHfCl2

An optimized crystal structure of LiHfCl2 (GGA-PBE, Alexandria).

Lattice parameters (Å, degrees): 8.2107 8.2107 8.2107 24.12 24.12 24.12
Each line ends with the local moment (μB).
Positions (direct):
1 Cl 0.1047 0.1047 0.1047  0.00
2 Hf 0.0000 0.0000 0.0000  0.54
3 Li 0.5000 0.5000 0.5000  0.01
4 Cl 0.8953 0.8953 0.8953  0.00

Properties
The density is 5.2 g/cm³. The size of the total moment is 0.95 μB/cell. The value obtained for the density of states at the Fermi level is 2.9 states/eV per cell.



<iv>
# LiHfCl2

An optimized crystal structure of LiHfCl2 (GGA-PBE, Alexandria).

Lattice parameters (Å, degrees): 9.6087 9.6087 9.6087 19.55 19.55 19.55
Positions (direct):
1 Li 0.0000 0.0000 0.0000
2 Cl 0.1015 0.1015 0.1015
3 Cl 0.8985 0.8985 0.8985
4 Hf 0.5000 0.5000 0.5000

Properties
The density is 4.9 g/cm³. The size of the total moment is 0.00 μB/cell. The value obtained for the density of states at the Fermi level is 1.1 states/eV per cell.



Name the most stable of them. <iii>.